Crystalline NaPBrCl2 at its relaxed geometry, computed with PBE.

Values from the calculation:
As for the energy above the most stable polymorph in this dataset: 0.00 kJ/mol of atoms. As for the density of states at the Fermi level: 2.783 states/eV/cell. The raw formation energy comes out at 83 meV per atom.

a = 6.045 Å, b = 6.045 Å, c = 4.605 Å
α = 90.00°, β = 90.00°, γ = 90.00°
Space group P4/mmm (No. 123)
Inequivalent atoms, fractional coordinates:
Na: 0.000 0.000 0.000 x1
P: 0.500 0.500 0.000 x1
Br: 0.500 0.500 0.500 x1
Cl: 0.000 0.500 0.500 x2



Crystalline Na2PbBr2Cl2 at its relaxed geometry, computed with PBE.

Values from the calculation:
As for the density of states at the Fermi level: 0.000 states/eV/cell. The raw formation energy comes out at -1365 meV per atom.

a = 4.312 Å, b = 7.294 Å, c = 7.729 Å
α = 67.64°, β = 74.21°, γ = 89.55°
Space group P-1 (No. 2)
Inequivalent atoms, fractional coordinates:
Na: 0.206 0.207 0.065 x2
Pb: 0.500 0.500 0.500 x1
Br: 0.383 0.060 0.743 x2
Cl: 0.134 0.496 0.225 x2



Crystalline NaPb3Br6Cl2 at its relaxed geometry, computed with PBE.

Values from the calculation:
As for the density of states at the Fermi level: 22.079 states/eV/cell. The raw formation energy comes out at -944 meV per atom.

a = 14.685 Å, b = 8.668 Å, c = 6.588 Å
α = 90.00°, β = 91.59°, γ = 90.00°
Space group C2/m (No. 12)
Inequivalent atoms, fractional coordinates:
Na: 0.000 0.000 0.000 x2
Pb: 0.000 0.500 0.500 x2
Pb: 0.250 0.250 0.000 x4
Br: 0.089 0.248 0.261 x8
Br: 0.162 0.000 0.752 x4
Cl: 0.165 0.500 0.764 x4



Crystalline Na2PdBr2Cl2 at its relaxed geometry, computed with PBE.

Values from the calculation:
As for the density of states at the Fermi level: 3.502 states/eV/cell. The raw formation energy comes out at -1019 meV per atom.

a = 13.133 Å, b = 4.071 Å, c = 7.443 Å
α = 90.00°, β = 108.95°, γ = 90.00°
Space group C2/m (No. 12)
Inequivalent atoms, fractional coordinates:
Na: 0.226 0.000 0.216 x4
Pd: 0.000 0.000 0.500 x2
Br: 0.104 0.500 0.388 x4
Cl: 0.143 0.000 0.821 x4



Crystalline NaPd2BrCl at its relaxed geometry, computed with PBE.

Values from the calculation:
As for the density of states at the Fermi level: 3.183 states/eV/cell. The raw formation energy comes out at -235 meV per atom.

a = 4.588 Å, b = 4.588 Å, c = 5.678 Å
α = 90.00°, β = 90.00°, γ = 90.00°
Space group P4/mmm (No. 123)
Inequivalent atoms, fractional coordinates:
Na: 0.000 0.000 0.000 x1
Pd: 0.000 0.500 0.500 x2
Br: 0.500 0.500 0.000 x1
Cl: 0.000 0.000 0.500 x1



Crystalline Na2PtBr4Cl2 at its relaxed geometry, computed with PBE.

Values from the calculation:
As for the density of states at the Fermi level: 0.000 states/eV/cell. The raw formation energy comes out at -907 meV per atom.

a = 12.055 Å, b = 7.277 Å, c = 6.986 Å
α = 90.00°, β = 122.63°, γ = 90.00°
Space group C2/m (No. 12)
Inequivalent atoms, fractional coordinates:
Na: 0.237 0.000 0.214 x4
Pt: 0.000 0.000 0.500 x2
Br: 0.056 0.242 0.793 x8
Cl: 0.220 0.000 0.599 x4



Crystalline NaPuBr2Cl at its relaxed geometry, computed with PBE.

Values from the calculation:
As for the density of states at the Fermi level: 62.314 states/eV/cell. The raw formation energy comes out at -1525 meV per atom.

a = 4.113 Å, b = 13.959 Å, c = 10.300 Å
α = 90.00°, β = 90.00°, γ = 90.00°
Space group Cmcm (No. 63)
Inequivalent atoms, fractional coordinates:
Na: 0.000 0.233 0.250 x4
Pu: 0.000 0.500 0.000 x4
Br: 0.000 0.145 0.570 x8
Cl: 0.000 0.410 0.750 x4



Crystalline Rb2NaBr6Cl at its relaxed geometry, computed with PBE.

Values from the calculation:
As for the density of states at the Fermi level: 5.726 states/eV/cell. The raw formation energy comes out at -768 meV per atom.

a = 8.274 Å, b = 8.274 Å, c = 10.802 Å
α = 90.00°, β = 90.00°, γ = 90.00°
Space group I4/mmm (No. 139)
Inequivalent atoms, fractional coordinates:
Rb: 0.000 0.500 0.250 x4
Na: 0.000 0.000 0.000 x2
Br: 0.000 0.000 0.275 x4
Br: 0.241 0.241 0.000 x8
Cl: 0.000 0.000 0.500 x2